Record 1
Density functional theory data (GGA-PBE) for a relaxed structure of HfTl4Se4.

## Properties
- total DFT energy (no corrections) (eV/f.u.) = -39.9
- crystal system = triclinic

abc: 9.354 9.362 16.144
angles: 105.01 104.19 90.18
Fractional positions:
Hf (0.500, 0.000, 0.000)
Hf (0.307, 0.177, 0.199)
Hf (0.314, 0.983, 0.401)
Hf (0.686, 0.017, 0.599)
Hf (0.693, 0.823, 0.801)
Se (0.428, 0.724, 0.004)
Se (0.228, 0.072, 0.019)
Se (0.584, 0.090, 0.180)
Se (0.031, 0.242, 0.193)
Se (0.381, 0.449, 0.199)
Se (0.261, 0.902, 0.222)
Se (0.385, 0.255, 0.379)
Se (0.242, 0.708, 0.397)
Se (0.042, 0.060, 0.402)
Se (0.606, 0.930, 0.420)
Se (0.394, 0.070, 0.580)
Se (0.958, 0.940, 0.598)
Se (0.758, 0.292, 0.603)
Se (0.615, 0.745, 0.621)
Se (0.739, 0.098, 0.778)
Se (0.619, 0.551, 0.801)
Se (0.969, 0.758, 0.807)
Se (0.416, 0.910, 0.820)
Se (0.772, 0.928, 0.981)
Se (0.572, 0.276, 0.996)
Tl (0.277, 0.395, 0.000)
Tl (0.099, 0.768, 0.008)
Tl (0.706, 0.395, 0.193)
Tl (0.092, 0.580, 0.199)
Tl (0.916, 0.946, 0.199)
Tl (0.554, 0.773, 0.205)
Tl (0.091, 0.382, 0.391)
Tl (0.724, 0.221, 0.399)
Tl (0.540, 0.585, 0.402)
Tl (0.911, 0.770, 0.403)
Tl (0.089, 0.230, 0.597)
Tl (0.460, 0.415, 0.598)
Tl (0.276, 0.779, 0.601)
Tl (0.909, 0.618, 0.609)
Tl (0.446, 0.227, 0.795)
Tl (0.084, 0.054, 0.801)
Tl (0.908, 0.420, 0.801)
Tl (0.294, 0.605, 0.807)
Tl (0.901, 0.232, 0.992)
Tl (0.723, 0.605, 0.000)

Record 2
Density functional theory data (GGA-PBE) for a relaxed structure of YFeSnHg.

## Properties
- total DFT energy (no corrections) (eV/f.u.) = -19.3
- crystal system = cubic
- energy above the most stable polymorph in this dataset (kcal/mol of atoms) = 0.000

abc: 4.970 4.970 4.970
angles: 60.00 60.00 60.00
Fractional positions:
Fe (0.750, 0.750, 0.750)
Hg (0.500, 0.500, 0.500)
Sn (0.000, 0.000, 0.000)
Y (0.250, 0.250, 0.250)

Record 3
Density functional theory data (GGA-PBE) for a relaxed structure of NaSnSbOs.

## Properties
- total DFT energy (no corrections) (eV/f.u.) = -17.8
- crystal system = cubic
- energy above the most stable polymorph in this dataset (kcal/mol of atoms) = 11.402

abc: 4.902 4.902 4.902
angles: 60.00 60.00 60.00
Fractional positions:
Na (0.750, 0.750, 0.750)
Os (0.500, 0.500, 0.500)
Sb (0.000, 0.000, 0.000)
Sn (0.250, 0.250, 0.250)

Record 4
Density functional theory data (GGA-PBE) for a relaxed structure of Gd4C2Br3.

## Properties
- total DFT energy (no corrections) (eV/f.u.) = -52.3
- crystal system = orthorhombic

abc: 10.876 3.730 20.697
angles: 90.00 90.00 90.00
Fractional positions:
Br (0.371, 0.250, 0.046)
Br (0.885, 0.250, 0.056)
Br (0.132, 0.750, 0.142)
Br (0.632, 0.750, 0.358)
Br (0.385, 0.250, 0.444)
Br (0.871, 0.250, 0.454)
Br (0.129, 0.750, 0.546)
Br (0.615, 0.750, 0.556)
Br (0.368, 0.250, 0.642)
Br (0.868, 0.250, 0.858)
Br (0.115, 0.750, 0.944)
Br (0.629, 0.750, 0.954)
C (0.629, 0.750, 0.156)
C (0.381, 0.250, 0.249)
C (0.881, 0.250, 0.251)
C (0.129, 0.750, 0.344)
C (0.871, 0.250, 0.656)
C (0.119, 0.750, 0.749)
C (0.619, 0.750, 0.751)
C (0.371, 0.250, 0.844)
Gd (0.631, 0.250, 0.080)
Gd (0.865, 0.750, 0.169)
Gd (0.395, 0.750, 0.170)
Gd (0.629, 0.250, 0.245)
Gd (0.129, 0.250, 0.255)
Gd (0.895, 0.750, 0.330)
Gd (0.365, 0.750, 0.331)
Gd (0.131, 0.250, 0.420)
Gd (0.869, 0.750, 0.580)
Gd (0.635, 0.250, 0.669)
Gd (0.105, 0.250, 0.670)
Gd (0.871, 0.750, 0.745)
Gd (0.371, 0.750, 0.755)
Gd (0.605, 0.250, 0.830)
Gd (0.135, 0.250, 0.831)
Gd (0.369, 0.750, 0.920)

Record 5
Density functional theory data (GGA-PBE) for a relaxed structure of LiHoCdO3.

## Properties
- total DFT energy (no corrections) (eV/f.u.) = -35.1
- crystal system = orthorhombic

abc: 7.253 7.253 6.232
angles: 90.00 90.00 26.12
Fractional positions:
Cd (0.702, 0.702, 0.250)
Cd (0.298, 0.298, 0.750)
Ho (0.000, 0.000, 0.000)
Ho (0.000, 0.000, 0.500)
Li (0.354, 0.354, 0.250)
Li (0.646, 0.646, 0.750)
O (0.843, 0.843, 0.014)
O (0.496, 0.496, 0.250)
O (0.843, 0.843, 0.486)
O (0.157, 0.157, 0.514)
O (0.504, 0.504, 0.750)
O (0.157, 0.157, 0.986)

Record 6
Density functional theory data (GGA-PBE) for a relaxed structure of LiHfTlPd.

## Properties
- total DFT energy (no corrections) (eV/f.u.) = -19.8
- crystal system = cubic
- energy above the most stable polymorph in this dataset (kcal/mol of atoms) = 5.906

abc: 4.671 4.671 4.671
angles: 60.00 60.00 60.00
Fractional positions:
Hf (0.500, 0.500, 0.500)
Li (0.750, 0.750, 0.750)
Pd (0.000, 0.000, 0.000)
Tl (0.250, 0.250, 0.250)

Record 7
Density functional theory data (GGA-PBE) for a relaxed structure of Hf3InB2.

## Properties
- total DFT energy (no corrections) (eV/f.u.) = -48.6
- crystal system = hexagonal

abc: 3.393 3.393 20.963
angles: 90.00 90.00 120.00
Fractional positions:
B (0.333, 0.667, 0.069)
B (0.333, 0.667, 0.431)
B (0.667, 0.333, 0.569)
B (0.667, 0.333, 0.931)
Hf (0.000, 0.000, 0.000)
Hf (0.667, 0.333, 0.129)
Hf (0.667, 0.333, 0.371)
Hf (0.000, 0.000, 0.500)
Hf (0.333, 0.667, 0.629)
Hf (0.333, 0.667, 0.871)
In (0.000, 0.000, 0.250)
In (0.000, 0.000, 0.750)

Record 8
Density functional theory data (GGA-PBE) for a relaxed structure of Ba2GeWS6.

## Properties
- total DFT energy (no corrections) (eV/f.u.) = -55.8
- crystal system = cubic

abc: 6.996 6.996 6.996
angles: 120.00 120.00 60.00
Fractional positions:
Ba (0.750, 0.750, 0.250)
Ba (0.250, 0.250, 0.750)
Ge (0.500, 0.500, 0.500)
S (0.242, 0.242, 0.242)
S (0.758, 0.242, 0.242)
S (0.242, 0.758, 0.242)
S (0.758, 0.242, 0.758)
S (0.242, 0.758, 0.758)
S (0.758, 0.758, 0.758)
W (0.000, 0.000, 0.000)

Record 9
Density functional theory data (GGA-PBE) for a relaxed structure of RbDy4As3.

## Properties
- total DFT energy (no corrections) (eV/f.u.) = -39.8
- crystal system = tetragonal

abc: 4.837 4.837 10.859
angles: 90.00 90.00 90.00
Fractional positions:
As (0.000, 0.000, 0.000)
As (0.500, 0.500, 0.300)
As (0.500, 0.500, 0.700)
Dy (0.500, 0.000, 0.161)
Dy (0.000, 0.500, 0.161)
Dy (0.500, 0.000, 0.839)
Dy (0.000, 0.500, 0.839)
Rb (0.000, 0.000, 0.500)

Record 10
Density functional theory data (GGA-PBE) for a relaxed structure of NdGdGa6.

## Properties
- total DFT energy (no corrections) (eV/f.u.) = -32.1
- crystal system = hexagonal

abc: 6.373 6.373 4.550
angles: 90.00 90.00 120.00
Fractional positions:
Ga (0.293, 0.146, 0.000)
Ga (0.854, 0.146, 0.000)
Ga (0.854, 0.707, 0.000)
Ga (0.144, 0.289, 0.500)
Ga (0.144, 0.856, 0.500)
Ga (0.711, 0.856, 0.500)
Gd (0.667, 0.333, 0.500)
Nd (0.333, 0.667, 0.000)

Record 11
Density functional theory data (GGA-PBE) for a relaxed structure of ThZn.

## Properties
- total DFT energy (no corrections) (eV/f.u.) = -8.4
- crystal system = orthorhombic

abc: 5.703 12.965 5.337
angles: 90.00 90.00 90.00
Fractional positions:
Th (0.993, 0.503, 0.000)
Th (0.491, 0.625, 0.000)
Th (0.491, 0.875, 0.000)
Th (0.993, 0.997, 0.000)
Th (0.340, 0.003, 0.500)
Th (0.842, 0.125, 0.500)
Th (0.842, 0.375, 0.500)
Th (0.340, 0.497, 0.500)
Zn (0.485, 0.135, 0.000)
Zn (0.020, 0.250, 0.000)
Zn (0.485, 0.365, 0.000)
Zn (0.990, 0.750, 0.000)
Zn (0.343, 0.250, 0.500)
Zn (0.848, 0.635, 0.500)
Zn (0.313, 0.750, 0.500)
Zn (0.848, 0.865, 0.500)

Record 12
Density functional theory data (GGA-PBE) for a relaxed structure of DyTm2.

## Properties
- total DFT energy (no corrections) (eV/f.u.) = -6.0
- crystal system = cubic
- energy above the most stable polymorph in this dataset (kcal/mol of atoms) = 58.414

abc: 10.098 10.098 10.098
angles: 60.00 60.00 60.00
Last column: magnetic moment on the atom in μB.
Fractional positions:
Dy (0.250, 0.250, 0.250)  1.31
Dy (0.500, 0.500, 0.500)  1.31
Tm (0.375, 0.375, 0.375)  0.87
Tm (0.875, 0.375, 0.375)  1.00
Tm (0.375, 0.875, 0.375)  0.87
Tm (0.375, 0.375, 0.875)  0.84